# 1
The following is a DFT calculation (GGA-PBEsol) of SbAs2P after structural relaxation.

Formation energy (no corrections), meV/atom: 463
Total magnetic moment, μB per cell: 0.00
Total energy, eV per cell: -18.7
Relative energy among the computed polymorphs, meV per atom: 417.4

Lattice parameters (Å, degrees): 4.698 4.698 3.486 90.00 90.00 90.00
Space group P4/mmm (No. 123)
Asymmetric unit:
Sb 0.000 0.000 0.000 (multiplicity 1)
As 0.000 0.500 0.500 (multiplicity 2)
P 0.500 0.500 0.000 (multiplicity 1)

---

# 2
The following is a DFT calculation (GGA-PBEsol) of Sc2AsP after structural relaxation.

Energy of formation, meV/atom: -1458.9
Total magnetic moment, μB per cell: 0.00
Total energy, eV per cell: -29.9

Lattice parameters (Å, degrees): 3.771 3.771 5.329 90.00 90.00 90.00
Space group P4/mmm (No. 123)
Asymmetric unit:
Sc 0.000 0.000 0.000 (multiplicity 1)
Sc 0.500 0.500 0.500 (multiplicity 1)
As 0.000 0.000 0.500 (multiplicity 1)
P 0.500 0.500 0.000 (multiplicity 1)

---

# 3
The following is a DFT calculation (GGA-PBEsol) of Sc2AsP after structural relaxation.

Energy of formation, meV/atom: -1468.1
Total magnetic moment, μB per cell: 0.00
Total energy, eV per cell: -89.9

Lattice parameters (Å, degrees): 3.7646 3.7646 18.5049 90.00 90.00 120.00
Space group R-3m (No. 166, hexagonal axes)
Asymmetric unit:
Sc 0.0000 0.0000 0.2472 (multiplicity 6)
As 0.0000 0.0000 0.0000 (multiplicity 3)
P 0.0000 0.0000 0.5000 (multiplicity 3)

---

# 4
The following is a DFT calculation (GGA-PBEsol) of ScAs4P after structural relaxation.

Energy of formation, meV/atom: 131.0
Total magnetic moment, μB per cell: 0.00
Total energy, eV per cell: -128.1

Lattice parameters (Å, degrees): 7.652 7.652 7.652 90.00 90.00 90.00
Space group F-43m (No. 216)
Asymmetric unit:
Sc 0.000 0.000 0.000 (multiplicity 4)
As 0.124 0.124 0.376 (multiplicity 16)
P 0.250 0.250 0.750 (multiplicity 4)